Entry from the Alexandria database: a crystal of Zn2AsOs relaxed with PBEsol (meta-GGA SCAN).

abc: 3.8796 3.8796 4.6782
angles: 114.50 114.50 90.00
Last column: nearest neighbours and their distance in Å.
Element x y z (fractional)
As (0.5000, 0.5000, 0.0000)  4 Os 2.71, 8 Zn 2.71-2.74
Os (0.2500, 0.7500, 0.5000)  4 As 2.71, 8 Zn 2.71-2.74
Zn (0.0000, 0.0000, 0.0000)  4 Os 2.71, 4 Zn 2.71, 4 As 2.74
Zn (0.7500, 0.2500, 0.5000)  4 As 2.71, 4 Zn 2.71, 4 Os 2.74

=====

Entry from the Alexandria database: a crystal of ZnAs2Os relaxed with PBEsol (meta-GGA SCAN).

abc: 3.1110 4.4383 4.4383
angles: 90.00 90.00 90.00
Last column: nearest neighbours and their distance in Å.
Element x y z (fractional)
As (0.0000, 0.0000, 0.5000)  4 Os 2.71, 4 Zn 2.71
As (0.0000, 0.5000, 0.0000)  4 Os 2.71, 4 Zn 2.71
Os (0.5000, 0.5000, 0.5000)  8 As 2.71
Zn (0.5000, 0.0000, 0.0000)  8 As 2.71

=====

Entry from the Alexandria database: a crystal of Zr3AsOs relaxed with PBEsol (meta-GGA SCAN).

abc: 4.9677 4.9677 4.9677
angles: 90.00 90.00 90.00
Last column: nearest neighbours and their distance in Å.
Element x y z (fractional)
As (0.5000, 0.5000, 0.5000)  12 Zr 3.51
Os (0.0000, 0.0000, 0.0000)  6 Zr 2.48
Zr (0.0000, 0.5000, 0.0000)  2 Os 2.48
Zr (0.0000, 0.0000, 0.5000)  2 Os 2.48
Zr (0.5000, 0.0000, 0.0000)  2 Os 2.48

=====

Entry from the Alexandria database: a crystal of ZrAsOs2 relaxed with PBEsol (meta-GGA SCAN).

abc: 4.4846 4.4846 4.4846
angles: 60.00 60.00 60.00
Last column: nearest neighbours and their distance in Å.
Element x y z (fractional)
As (0.5000, 0.5000, 0.5000)  4 Zr 2.75, 4 Os 2.75
Os (0.0000, 0.0000, 0.0000)  4 Os 2.75, 4 Zr 2.75
Os (0.7500, 0.7500, 0.7500)  4 As 2.75, 4 Os 2.75
Zr (0.2500, 0.2500, 0.2500)  4 As 2.75, 4 Os 2.75

=====

Entry from the Alexandria database: a crystal of ZrAsOs2 relaxed with PBEsol (meta-GGA SCAN).

abc: 3.0368 4.5031 4.6014
angles: 90.00 90.00 90.00
Last column: nearest neighbours and their distance in Å.
Element x y z (fractional)
As (0.0000, 0.5000, 0.5000)  4 Os 2.72, 4 Zr 2.76, 2 As 3.04
Os (0.0000, 0.0000, 0.0000)  4 Zr 2.72, 6 Os 2.76-3.04
Os (0.5000, 0.0000, 0.5000)  4 As 2.72, 6 Os 2.76-3.04
Zr (0.5000, 0.5000, 0.0000)  4 Os 2.72, 4 As 2.76, 2 Zr 3.04

=====

Entry from the Alexandria database: a crystal of ZrAsOs2 relaxed with PBEsol (meta-GGA SCAN).

abc: 2.9874 4.7087 5.0446
angles: 107.97 107.22 90.00
Last column: nearest neighbours and their distance in Å.
Element x y z (fractional)
As (0.2675, 0.7611, 0.5350)  4 Os 2.52-2.65, 1 Zr 2.80
Os (0.9976, 0.0432, 0.9953)  3 Os 2.61-2.79, 2 As 2.65, 4 Zr 2.73-2.84
Os (0.7322, 0.1629, 0.4644)  2 As 2.52, 3 Os 2.61-2.79
Zr (0.5026, 0.5328, 0.0052)  6 Os 2.73-3.02, 3 As 2.80-2.85, 2 Zr 2.99

=====

Entry from the Alexandria database: a crystal of ZrAsOs relaxed with PBEsol (meta-GGA SCAN).

abc: 3.0352 3.0352 5.7487
angles: 105.31 105.31 90.00
Last column: nearest neighbours and their distance in Å.
Element x y z (fractional)
As (0.9793, 0.9793, 0.9586)  4 Os 2.53
Os (0.3545, 0.3545, 0.7090)  4 As 2.53
Zr (0.6662, 0.6662, 0.3323)  4 As 2.93, 4 Os 2.94, 4 Zr 3.04

=====

Entry from the Alexandria database: a crystal of AsP relaxed with PBEsol (meta-GGA SCAN).

abc: 3.6401 3.6401 3.8242
angles: 61.58 61.58 60.00
Last column: nearest neighbours and their distance in Å.
Element x y z (fractional)
P (0.7696, 0.7696, 0.6912)  3 As 2.43
As (0.2304, 0.2304, 0.3088)  3 P 2.43

distance to the lowest polymorph of the same formula	24.5	meV per atom

=====

We obtain energy of formation values of 0.26, 0.53, 0.12, 0.23, 0.04, -0.14, -0.38, 0.09 eV/atom for the records listed above, in that order.
We obtain total magnetization values of 0.00, 0.00, 0.00, 0.00, 0.00, 0.00, 0.00, 0.00 μB/cell for the records listed above, in that order.